[1]
The following is a GGA-PBE calculation of a relaxed LiTiIr3 crystal, from Alexandria via LeMat-Bulk.

## Properties
* energy above the most stable polymorph in this dataset: 0.000 eV/atom
* SG: No. 221
* density of states at the Fermi level: 1.6 states/eV per cell
* total magnetization: 0.0 μB per cell

a b c (Å): 4.116 4.116 4.116
angles (deg): 90.00 90.00 90.00
Fractional coordinates of all 5 atoms:
Li  0.000  0.000  0.000
Ti  0.500  0.500  0.500
Ir  0.000  0.000  0.500
Ir  0.000  0.500  0.000
Ir  0.500  0.000  0.000

[2]
The following is a GGA-PBE calculation of a relaxed LiTi2Ir crystal, from Alexandria via LeMat-Bulk.

## Properties
* SG: No. 225
* density of states at the Fermi level: 1.2 states/eV per cell
* total magnetization: 0.0 μB per cell

a b c (Å): 4.387 4.387 4.387
angles (deg): 60.00 60.00 60.00
Fractional coordinates of all 4 atoms:
Li  0.000  0.000  0.000
Ti  0.250  0.250  0.250
Ti  0.750  0.750  0.750
Ir  0.500  0.500  0.500

Number 1: energy of formation 0.237 eV/atom. Number 2: energy of formation -0.483 eV/atom.